(1)
# Ba2HgGe2

Crystalline Ba2HgGe2 at its relaxed geometry (GGA-PBE, Alexandria via LeMat-Bulk).

Output
size of the total moment: 0.000 μB per formula unit
polymorph energy (0 for the lowest one): 247 meV per atom
total DFT energy (no corrections): -14.78 eV/cell
energy relative to the elements: -0.28 eV/atom
Fermi-level density of states: 0.79 states/eV per atom

The structure in extended XYZ format:
```
5
Lattice="6.3612 0.0000 0.0000 0.0000 6.3612 0.0000 3.1806 3.1806 4.6087" Properties=species:S:1:pos:R:3 pbc="T T T"
Ge 3.1806 3.1806 1.1901
Ge 6.3612 6.3612 3.4186
Ba 3.1806 6.3612 2.3044
Ba 6.3612 3.1806 2.3044
Hg 0.0000 0.0000 0.0000
```

=====

(2)
# Ba2Hg5Ge3

Crystalline Ba2Hg5Ge3 at its relaxed geometry (GGA-PBE, Alexandria via LeMat-Bulk).

Output
size of the total moment: 0.000 μB per formula unit
total DFT energy (no corrections): -22.27 eV/cell
energy relative to the elements: -0.31 eV/atom
Fermi-level density of states: 0.52 states/eV per atom

The structure in extended XYZ format:
```
10
Lattice="-1.2857 2.5661 -4.0136 -0.9354 -4.2123 -2.3935 -10.8626 0.3192 3.6837" Properties=species:S:1:pos:R:3 pbc="T T T"
Hg -6.5419 -0.6635 -1.3617
Hg 0.0000 0.0000 0.0000
Hg -9.8566 1.5538 1.1177
Hg -1.1106 -0.8231 -3.2035
Hg -2.1166 -2.0577 -0.6376
Ge -7.2630 1.4776 0.2382
Ge -4.7102 -1.9815 0.2420
Ge -5.4313 0.1596 1.8418
Ba -8.4306 -1.8722 1.5036
Ba -3.5425 1.3682 -1.0235
```

=====

(3)
# BaHgGe3

Crystalline BaHgGe3 at its relaxed geometry (GGA-PBE, Alexandria via LeMat-Bulk).

Output
size of the total moment: 0.000 μB per formula unit
polymorph energy (0 for the lowest one): 0 meV per atom
total DFT energy (no corrections): -14.81 eV/cell
energy relative to the elements: 0.25 eV/atom
Fermi-level density of states: 0.58 states/eV per atom

The structure in extended XYZ format:
```
5
Lattice="5.3694 0.0000 0.0000 0.0000 5.3694 0.0000 0.0000 0.0000 5.3694" Properties=species:S:1:pos:R:3 pbc="T T T"
Ge 0.0000 2.6847 0.0000
Ge 2.6847 0.0000 0.0000
Ge 0.0000 0.0000 2.6847
Hg 0.0000 0.0000 0.0000
Ba 2.6847 2.6847 2.6847
```

=====

(4)
# Ba2Hg3Ge2

Crystalline Ba2Hg3Ge2 at its relaxed geometry (GGA-PBE, Alexandria via LeMat-Bulk).

Output
size of the total moment: 0.000 μB per formula unit
total DFT energy (no corrections): -16.91 eV/cell
energy relative to the elements: -0.42 eV/atom
Fermi-level density of states: 0.48 states/eV per atom

The structure in extended XYZ format:
```
7
Lattice="4.6003 0.0000 0.0000 0.0000 4.1169 0.0000 0.0000 -2.0584 11.7077" Properties=species:S:1:pos:R:3 pbc="T T T"
Hg 2.3002 2.0584 1.5454
Hg 2.3002 0.0000 10.1623
Hg 0.0000 0.0000 0.0000
Ba 0.0000 2.0584 7.9398
Ba 0.0000 0.0000 3.7679
Ge 2.3002 2.0584 5.1140
Ge 2.3002 0.0000 6.5937
```